Record 1
# Ti3AlRu

A relaxed structure of Ti3AlRu (PBEsol, the Alexandria database).

Output
The calculation puts the uncorrected energy at -6.652 eV per atom. The density of states at the Fermi level is 9.1 states/eV/f.u.

a b c (Å): 4.5191 4.5191 4.5191
angles (deg): 90.00 90.00 90.00
Closest atoms and distances in Å follow each position.
Space group Pm-3m (No. 221)
Asymmetric unit:
Ti: 0.0000 0.0000 0.5000 x3  2 Al 2.26
Al: 0.0000 0.0000 0.0000 x1  6 Ti 2.26
Ru: 0.5000 0.5000 0.5000 x1  12 Ti 3.20



Record 2
# Hf2AlH2

A relaxed structure of Hf2AlH2 (PBEsol, the Alexandria database).

Output
The calculation puts the uncorrected energy at -6.366 eV per atom. The density of states at the Fermi level is 2.0 states/eV/f.u.

a b c (Å): 6.5513 6.5513 2.8913
angles (deg): 90.00 90.00 90.00
Closest atoms and distances in Å follow each position.
Space group P4/mbm (No. 127)
Asymmetric unit:
Hf: 0.1611 0.3389 0.0000 x4  6 H 2.32-2.56
Al: 0.0000 0.0000 0.5000 x2  4 H 2.65, 8 Hf 2.85, 2 Al 2.89
H: 0.1115 0.6115 0.5000 x4  1 H 2.07



Record 3
# SrSi2Ir

A relaxed structure of SrSi2Ir (PBEsol, the Alexandria database).

Output
The value obtained for the formation energy (no corrections) is -2.522 eV/f.u. The calculation puts the uncorrected energy at -6.420 eV per atom. The density of states at the Fermi level is 2.6 states/eV/f.u.

a b c (Å): 4.0821 4.0821 17.0353
angles (deg): 90.00 90.00 120.00
Closest atoms and distances in Å follow each position.
Space group R3m (No. 160, hexagonal axes)
Asymmetric unit:
Sr: 0.0000 0.0000 0.0000 x3  7 Si 3.15-3.42, 4 Ir 3.15-3.46
Si: 0.0000 0.0000 0.5443 x3  3 Ir 2.40
Si: 0.0000 0.0000 0.7993 x3  3 Ir 2.52, 3 Si 2.71
Ir: 0.0000 0.0000 0.1847 x3  6 Si 2.40-2.52



Record 4
# CsLaCd2

A relaxed structure of CsLaCd2 (PBEsol, the Alexandria database).

Output
The calculation puts the uncorrected energy at -2.019 eV per atom. The density of states at the Fermi level is 3.5 states/eV/f.u.

a b c (Å): 8.1123 8.1123 8.1123
angles (deg): 90.00 90.00 90.00
Closest atoms and distances in Å follow each position.
Space group Fm-3m (No. 225)
Asymmetric unit:
Cs: 0.0000 0.0000 0.0000 x4  8 Cd 3.51
La: 0.0000 0.0000 0.5000 x4  8 Cd 3.51
Cd: 0.2500 0.2500 0.2500 x8  4 La 3.51, 4 Cs 3.51



Record 5
# Mn5P4H10O20

A relaxed structure of Mn5P4H10O20 (PBEsol, the Alexandria database).

Output
The calculation puts the uncorrected energy at -6.974 eV per atom. The density of states at the Fermi level is 0.0 states/eV/f.u.

a b c (Å): 17.4841 9.0340 9.4794
angles (deg): 90.00 96.80 90.00
Closest atoms and distances in Å follow each position.
Space group C2/c (No. 15)
Asymmetric unit:
Mn: 0.0000 0.0985 0.2500 x4  6 O 2.11-2.27
Mn: 0.1743 0.0292 0.8644 x8  6 O 2.12-2.30
Mn: 0.1838 0.4128 0.8155 x8  6 O 2.08-2.27
P: 0.0829 0.1832 0.5862 x8  4 O 1.54-1.57
P: 0.1602 0.2617 0.1266 x8  4 O 1.54-1.57
H: 0.0236 0.2860 0.0226 x8  1 O 1.06
H: 0.0333 0.4412 0.8550 x8  1 O 0.99
H: 0.0647 0.4121 0.2705 x8  1 O 1.00
H: 0.2039 0.3675 0.5230 x8  1 O 1.02
H: 0.2298 0.1538 0.5843 x8  1 O 1.00
O: 0.0132 0.2946 0.5738 x8  1 H 1.06
O: 0.0734 0.2705 0.1552 x8  1 H 1.45, 1 P 1.57
O: 0.0762 0.0719 0.7066 x8  1 P 1.54
O: 0.0776 0.4933 0.3413 x8  2 H 0.99-1.00
O: 0.0830 0.1066 0.4406 x8  1 P 1.54
O: 0.1584 0.2713 0.6280 x8  1 P 1.55, 2 H 1.60-1.73
O: 0.1631 0.2366 0.9645 x8  1 P 1.56
O: 0.1997 0.1305 0.2111 x8  1 P 1.55
O: 0.2026 0.4061 0.1734 x8  1 P 1.54
O: 0.2433 0.4210 0.4707 x8  2 H 1.00-1.02



Record 6
# CaSbW2

A relaxed structure of CaSbW2 (PBEsol, the Alexandria database).

Output
The value obtained for the formation energy (no corrections) is 2.758 eV/f.u. The calculation puts the uncorrected energy at -7.887 eV per atom. The density of states at the Fermi level is 2.8 states/eV/f.u.

a b c (Å): 4.0098 4.0098 4.6628
angles (deg): 90.00 90.00 90.00
Closest atoms and distances in Å follow each position.
Space group P4/mmm (No. 123)
Asymmetric unit:
Ca: 0.0000 0.0000 0.0000 x1  4 Sb 2.84, 8 W 3.07
Sb: 0.5000 0.5000 0.0000 x1  4 Ca 2.84, 8 W 3.07
W: 0.0000 0.5000 0.5000 x2  4 W 2.84, 4 Sb 3.07, 4 Ca 3.07



Record 7
# BaCdPb

A relaxed structure of BaCdPb (PBEsol, the Alexandria database).

Output
The calculation puts the uncorrected energy at -2.866 eV per atom. The density of states at the Fermi level is 1.5 states/eV/f.u.

a b c (Å): 4.9248 4.9248 4.9709
angles (deg): 90.00 90.00 120.00
Closest atoms and distances in Å follow each position.
Space group P3m1 (No. 156)
Asymmetric unit:
Ba: 0.0000 0.0000 0.0000 x1  6 Pb 3.73-3.82, 6 Cd 3.73-3.82
Cd: 0.3333 0.6667 0.5144 x1  3 Pb 2.85
Pb: 0.6667 0.3333 0.4853 x1  3 Cd 2.85



Record 8
# HfReSi2

A relaxed structure of HfReSi2 (PBEsol, the Alexandria database).

Output
The value obtained for the formation energy (no corrections) is -1.122 eV/f.u. The calculation puts the uncorrected energy at -9.113 eV per atom. The density of states at the Fermi level is 2.8 states/eV/f.u.

a b c (Å): 6.1937 6.1937 6.1937
angles (deg): 90.00 90.00 90.00
Closest atoms and distances in Å follow each position.
Space group Fm-3m (No. 225)
Asymmetric unit:
Hf: 0.0000 0.0000 0.0000 x4  8 Si 2.68
Re: 0.0000 0.0000 0.5000 x4  8 Si 2.68
Si: 0.2500 0.2500 0.2500 x8  4 Hf 2.68, 4 Re 2.68



Q: Among the records above, which one has the highest uncorrected energy?
A: CsLaCd2



What did the fourth record say?
# CsLaCd2

A relaxed structure of CsLaCd2 (PBEsol, the Alexandria database).

Output
The calculation puts the uncorrected energy at -2.019 eV per atom. The density of states at the Fermi level is 3.5 states/eV/f.u.

a b c (Å): 8.1123 8.1123 8.1123
angles (deg): 90.00 90.00 90.00
Closest atoms and distances in Å follow each position.
Space group Fm-3m (No. 225)
Asymmetric unit:
Cs: 0.0000 0.0000 0.0000 x4  8 Cd 3.51
La: 0.0000 0.0000 0.5000 x4  8 Cd 3.51
Cd: 0.2500 0.2500 0.2500 x8  4 La 3.51, 4 Cs 3.51



Q: Which formula does entry 3 have?
A: SrSi2Ir



Q: The highest uncorrected energy belongs to which entry?
A: CsLaCd2